Computed, not measured: Tb2Nd2Si4Ir after structural relaxation at the PBE-GGA level of DFT. Values from VASP.

Cell and atoms, written as Quantum ESPRESSO input:
```
&SYSTEM
  ibrav = 0, nat = 9, ntyp = 4
/
ATOMIC_SPECIES
Tb 158.93 Tb.upf
Nd 144.24 Nd.upf
Si 28.09 Si.upf
Ir 192.22 Ir.upf
ATOMIC_POSITIONS crystal
Tb 0.0000 0.6861 0.6861
Tb 0.0000 0.3139 0.3139
Nd 0.5000 0.7500 0.2500
Nd 0.5000 0.2500 0.7500
Si 0.0000 0.7540 0.2460
Si 0.5080 0.7540 0.7540
Si 0.0000 0.2460 0.7540
Si 0.4920 0.2460 0.2460
Ir 0.0000 0.0000 0.0000
CELL_PARAMETERS angstrom
6.5093 0.1635 0.2360
-2.9812 5.7888 -0.2360
-2.9812 -2.2548 5.3369
```

Values from the calculation:
Density in Mg/m³: 7.342
Final energy in eV/atom: -5.9004
ΔE_f (raw) in meV/atom: -417.1
Symmetry: No. 139